Record 1
{
  "formula": "HoZn5Ni7",
  "functional": "PBE",
  "state": "relaxed",
  "dos_at_fermi_per_ev_cell": 8.3,
  "formation_energy_ev_per_atom": -0.2106,
  "volume_a3_per_atom": 13.23,
  "cell": [[-3.6799, -2.7832, 1.7199], [1.9509, -5.8313, 1.7864], [-0.8448, 0.6621, 6.3126]],
  "species": ["Ni", "Ni", "Ni", "Ni", "Ni", "Ni", "Ni", "Zn", "Zn", "Zn", "Zn", "Zn", "Ho"],
  "fractional_positions": [[0.3560, 0.6440, 0.6440], [0.0022, 0.3535, 0.6421], [0.0022, 0.6421, 0.3535], [0.2783, 0.2217, 0.2217], [0.5014, 0.2240, 0.7732], [0.6440, 0.3560, 0.3560], [0.5014, 0.7732, 0.2240], [0.0025, 0.0033, 0.4950], [0.7188, 0.7812, 0.7812], [0.4993, 0.0033, 0.4950], [0.4993, 0.4950, 0.0033], [0.0025, 0.4950, 0.0033], [0.9921, 0.0079, 0.0079]]
}

---

Record 2
{
  "formula": "Ho2ZnNi",
  "functional": "PBE",
  "state": "relaxed",
  "dos_at_fermi_per_ev_cell": 3.4,
  "formation_energy_ev_per_atom": -0.3888,
  "polymorph_energy_kj_per_mol_atoms": 0.0,
  "volume_a3_per_atom": 20.60,
  "cell": [[3.4465, 0.0000, 0.0000], [0.0000, 3.4465, 0.0000], [0.0000, 0.0000, 6.9374]],
  "species": ["Ni", "Ho", "Ho", "Zn"],
  "fractional_positions": [[0.5000, 0.5000, 0.0000], [0.0000, 0.0000, 0.2340], [0.0000, 0.0000, 0.7660], [0.5000, 0.5000, 0.5000]]
}

---

Record 3
{
  "formula": "HoZn3Ni",
  "functional": "PBE",
  "state": "relaxed",
  "dos_at_fermi_per_ev_cell": 3.3,
  "formation_energy_ev_per_atom": -0.1362,
  "polymorph_energy_kj_per_mol_atoms": 16.7,
  "volume_a3_per_atom": 18.62,
  "cell": [[4.5326, 0.0000, 0.0000], [0.0000, 4.5326, 0.0000], [0.0000, 0.0000, 4.5326]],
  "species": ["Zn", "Zn", "Zn", "Ni", "Ho"],
  "fractional_positions": [[0.0000, 0.0000, 0.5000], [0.0000, 0.5000, 0.0000], [0.5000, 0.0000, 0.0000], [0.0000, 0.0000, 0.0000], [0.5000, 0.5000, 0.5000]]
}

---

Record 4
{
  "formula": "HoZn3Ni",
  "functional": "PBE",
  "state": "relaxed",
  "dos_at_fermi_per_ev_cell": 5.9,
  "formation_energy_ev_per_atom": -0.3089,
  "polymorph_energy_kj_per_mol_atoms": 0.1,
  "volume_a3_per_atom": 16.85,
  "cell": [[-3.8798, -1.6919, -0.3433], [0.8844, -2.8739, 4.1681], [-0.9094, 6.4581, 4.6457]],
  "species": ["Zn", "Zn", "Zn", "Zn", "Zn", "Zn", "Ho", "Ho", "Ni", "Ni"],
  "fractional_positions": [[0.7039, 0.9993, 0.9078], [0.7039, 0.5007, 0.9078], [0.5564, 0.2500, 0.6143], [0.4436, 0.7500, 0.3857], [0.2961, 0.0007, 0.0922], [0.2961, 0.4993, 0.0922], [0.0811, 0.7500, 0.6620], [0.9189, 0.2500, 0.3380], [0.8512, 0.7500, 0.2007], [0.1488, 0.2500, 0.7993]]
}

---

Record 5
{
  "formula": "Ho12ZnNi6",
  "functional": "PBE",
  "state": "relaxed",
  "dos_at_fermi_per_ev_cell": 22.3,
  "formation_energy_ev_per_atom": -0.3258,
  "polymorph_energy_kj_per_mol_atoms": 0.0,
  "volume_a3_per_atom": 23.25,
  "cell": [[-2.6429, 1.5700, 7.7211], [2.1619, -8.0008, -0.6148], [6.5774, 4.7855, -1.7033]],
  "species": ["Ho", "Ho", "Ho", "Ho", "Ho", "Ho", "Ho", "Ho", "Ho", "Ho", "Ho", "Ho", "Ni", "Ni", "Ni", "Ni", "Ni", "Ni", "Zn"],
  "fractional_positions": [[0.8138, 0.3008, 0.1145], [0.1862, 0.3008, 0.4870], [0.1145, 0.8138, 0.3008], [0.3008, 0.1145, 0.8138], [0.1862, 0.6992, 0.8855], [0.5130, 0.8138, 0.6992], [0.6992, 0.5130, 0.8138], [0.6992, 0.8855, 0.1862], [0.8138, 0.6992, 0.5130], [0.8855, 0.1862, 0.6992], [0.3008, 0.4870, 0.1862], [0.4870, 0.1862, 0.3008], [0.3754, 0.5000, 0.8754], [0.5000, 0.8754, 0.3754], [0.1246, 0.6246, 0.5000], [0.8754, 0.3754, 0.5000], [0.6246, 0.5000, 0.1246], [0.5000, 0.1246, 0.6246], [0.0000, 0.0000, 0.0000]]
}

---

Record 6
{
  "formula": "Ho3Zn3Ni",
  "functional": "PBE",
  "state": "relaxed",
  "dos_at_fermi_per_ev_cell": 5.7,
  "formation_energy_ev_per_atom": -0.3580,
  "volume_a3_per_atom": 21.12,
  "cell": [[4.3125, 0.0000, -0.9408], [-0.1790, 3.5326, -0.8206], [-0.1543, 0.3671, 9.6471]],
  "species": ["Ho", "Ho", "Ho", "Zn", "Zn", "Zn", "Ni"],
  "fractional_positions": [[0.6931, 0.1931, 0.3861], [0.3193, 0.8193, 0.6385], [0.9922, 0.9922, 0.9843], [0.1397, 0.6397, 0.2794], [0.8622, 0.3622, 0.7244], [0.5629, 0.5629, 0.1258], [0.4307, 0.4307, 0.8614]]
}

---

What did the fourth record say?
{
  "formula": "HoZn3Ni",
  "functional": "PBE",
  "state": "relaxed",
  "dos_at_fermi_per_ev_cell": 5.9,
  "formation_energy_ev_per_atom": -0.3089,
  "polymorph_energy_kj_per_mol_atoms": 0.1,
  "volume_a3_per_atom": 16.85,
  "cell": [[-3.8798, -1.6919, -0.3433], [0.8844, -2.8739, 4.1681], [-0.9094, 6.4581, 4.6457]],
  "species": ["Zn", "Zn", "Zn", "Zn", "Zn", "Zn", "Ho", "Ho", "Ni", "Ni"],
  "fractional_positions": [[0.7039, 0.9993, 0.9078], [0.7039, 0.5007, 0.9078], [0.5564, 0.2500, 0.6143], [0.4436, 0.7500, 0.3857], [0.2961, 0.0007, 0.0922], [0.2961, 0.4993, 0.0922], [0.0811, 0.7500, 0.6620], [0.9189, 0.2500, 0.3380], [0.8512, 0.7500, 0.2007], [0.1488, 0.2500, 0.7993]]
}